DFT (PBE) results for a geometry-optimized SrCu3S3 structure.

Computed properties:
Formation energy from raw total energies ... -0.724 eV per atom
Uncorrected energy ... -4.49 eV/atom
Energy above the most stable polymorph in this dataset ... 0.0 kJ per mole of atoms

Cell lengths 9.6385, 3.7756, 9.6470 Å; angles 90.00, 119.95, 90.00 degrees
Space group P2_1/m (No. 11)
Asymmetric unit:
Sr 0.1663 0.2500 0.3330 [2 per cell]
Cu 0.1806 0.2500 0.7008 [2 per cell]
Cu 0.2014 0.7500 0.0205 [2 per cell]
Cu 0.4795 0.7500 0.6804 [2 per cell]
S 0.1006 0.2500 0.8801 [2 per cell]
S 0.2201 0.7500 0.5999 [2 per cell]
S 0.3799 0.7500 0.2796 [2 per cell]